A geometry-optimized AlTcP2 structure. Source: the Alexandria database, functional GGA-PBE.

Computed properties:
Magnetic moment ... 0.00 μB per formula unit
Energy of formation from the pure elements ... -22.7 kJ/mol of atoms
Symmetry ... Amm2, No. 38

Cell lengths 4.338, 4.467, 4.467 Å; angles 43.78, 90.00, 90.00 degrees
Atoms (fractional coordinates):
Al (0.000, 0.000, 0.000)
Tc (0.500, 0.415, 0.415)
P (0.000, 0.281, 0.281)
P (0.500, 0.699, 0.699)